# Cs2FeOsO6 | the Alexandria database | PBE with a Hubbard U | optimized geometry
data_Cs2FeOsO6
_chemical_formula_sum 'Cs2 Fe1 Os1 O6'
_cell_length_a 6.4893
_cell_length_b 6.4893
_cell_length_c 5.0404
_cell_angle_alpha 90.00
_cell_angle_beta 90.00
_cell_angle_gamma 120.00
_symmetry_space_group_name_H-M 'P -3 m 1'
_symmetry_Int_Tables_number 164
_symmetry_space_group_name_Hall '-P 3 2"'
loop_
_atom_site_label
_atom_site_type_symbol
_atom_site_fract_x
_atom_site_fract_y
_atom_site_fract_z
Cs1 Cs 0.3333 0.6667 0.2298
Fe1 Fe 0.0000 0.0000 0.0000
Os1 Os 0.0000 0.0000 0.5000
O1 O 0.1317 0.2633 0.7430
# D(E_F) = 0.30 states/eV per atom
# Electronic total energy = -59.89 eV for the cell shown
# Crystal system = trigonal
# Magnetic moment = 0.006 μB per atom